## TmMn5P3 (PBE-GGA)

Data for crystalline TmMn5P3 at its relaxed geometry.

Summary:
ΔE_f: -0.64 eV/atom
E: -8.029 eV/atom
SG: No. 63
Spin magnetization: 4.75 μB per formula unit

a = 6.2593 Å, b = 6.2593 Å, c = 10.7456 Å
α = 90.00°, β = 90.00°, γ = 145.27°
Closest atoms and distances in Å follow each position.
Fractional positions:
Tm (0.1698, 0.8302, 0.7500)  6 P 2.88-3.18
Tm (0.8302, 0.1698, 0.2500)  6 P 2.88-3.18
Mn (0.0000, 0.0000, 0.0000)  6 Mn 2.38-2.51, 4 P 2.45
Mn (0.0000, 0.0000, 0.5000)  6 Mn 2.38-2.51, 4 P 2.45
Mn (0.1923, 0.8077, 0.0588)  4 P 2.20-2.37, 1 Mn 2.38
Mn (0.1923, 0.8077, 0.4412)  4 P 2.20-2.37, 1 Mn 2.38
Mn (0.4520, 0.5480, 0.6469)  1 Mn 2.22, 4 P 2.29-2.32
Mn (0.4520, 0.5480, 0.8531)  1 Mn 2.22, 4 P 2.29-2.32
Mn (0.5480, 0.4520, 0.1469)  1 Mn 2.22, 4 P 2.29-2.32
Mn (0.5480, 0.4520, 0.3531)  1 Mn 2.22, 4 P 2.29-2.32
Mn (0.8077, 0.1923, 0.5588)  4 P 2.20-2.37, 1 Mn 2.38
Mn (0.8077, 0.1923, 0.9412)  4 P 2.20-2.37, 1 Mn 2.38
P (0.1151, 0.8849, 0.2500)  6 Mn 2.25-2.32
P (0.3766, 0.6234, 0.0524)  7 Mn 2.20-2.45
P (0.3766, 0.6234, 0.4476)  7 Mn 2.20-2.45
P (0.6234, 0.3766, 0.5524)  7 Mn 2.20-2.45
P (0.6234, 0.3766, 0.9476)  7 Mn 2.20-2.45
P (0.8849, 0.1151, 0.7500)  6 Mn 2.25-2.32


## U2MnP3 (PBE-GGA)

Data for crystalline U2MnP3 at its relaxed geometry.

Summary:
ΔE_f: -0.65 eV/atom
E: -8.643 eV/atom
SG: No. 15
Spin magnetization: 2.76 μB per formula unit

a = 6.1829 Å, b = 6.1829 Å, c = 7.7092 Å
α = 108.15°, β = 108.15°, γ = 53.09°
Closest atoms and distances in Å follow each position.
Fractional positions:
U (0.1807, 0.1842, 0.0912)  6 P 2.70-2.82
U (0.1842, 0.1807, 0.5912)  6 P 2.70-2.82
U (0.8158, 0.8193, 0.4088)  6 P 2.70-2.82
U (0.8193, 0.8158, 0.9088)  6 P 2.70-2.82
Mn (0.4524, 0.5476, 0.7500)  5 P 2.36-2.39
Mn (0.5476, 0.4524, 0.2500)  5 P 2.36-2.39
P (0.0193, 0.9807, 0.7500)  1 Mn 2.39
P (0.3704, 0.3719, 0.4355)  2 Mn 2.36
P (0.3719, 0.3704, 0.9355)  2 Mn 2.36
P (0.6281, 0.6296, 0.0645)  2 Mn 2.36
P (0.6296, 0.6281, 0.5645)  2 Mn 2.36
P (0.9807, 0.0193, 0.2500)  1 Mn 2.39


## U2MnP (PBE-GGA)

Data for crystalline U2MnP at its relaxed geometry.

Summary:
Excess energy over the best structure of this formula in the dataset: 0.263 eV per atom
ΔE_f: -0.08 eV/atom
E: -9.369 eV/atom
SG: No. 166
Spin magnetization: 2.73 μB per formula unit

a = 5.2862 Å, b = 5.2862 Å, c = 5.2862 Å
α = 47.72°, β = 47.72°, γ = 47.72°
Closest atoms and distances in Å follow each position.
Fractional positions:
U (0.2441, 0.2441, 0.2441)  3 Mn 2.70, 3 P 2.77
U (0.7559, 0.7559, 0.7559)  3 Mn 2.70, 3 P 2.77
Mn (0.5000, 0.5000, 0.5000)  6 U 2.70
P (0.0000, 0.0000, 0.0000)  6 U 2.77